First-principles (PBE-GGA) data for an optimized crystal structure of Na2PuSnBi2, as listed in Alexandria via LeMat-Bulk.

Unit cell a=6.7610 b=5.3113 c=9.6865 alpha=90.00 beta=90.00 gamma=90.00
Closest atoms and distances in Å follow each position.
Element x y z (fractional)
1 Na 0.0000 0.0000 0.0000  6 Na 3.38-3.48, 6 Bi 3.61-3.63, 2 Sn 3.72
2 Na 0.2500 0.5000 0.1530  5 Bi 3.17-3.39, 4 Na 3.48
3 Na 0.5000 0.0000 0.0000  6 Na 3.38-3.48, 6 Bi 3.61-3.63, 2 Sn 3.72
4 Na 0.7500 0.5000 0.8470  5 Bi 3.17-3.39, 4 Na 3.48
5 Pu 0.0000 0.5000 0.5000  2 Pu 3.38, 4 Sn 3.50, 6 Bi 3.51-3.55, 2 Na 3.76
6 Pu 0.5000 0.5000 0.5000  2 Pu 3.38, 4 Sn 3.50, 6 Bi 3.51-3.55, 2 Na 3.76
7 Sn 0.2500 0.0000 0.6579  5 Bi 3.07-3.38
8 Sn 0.7500 0.0000 0.3421  5 Bi 3.07-3.38
9 Bi 0.2500 0.0000 0.3314  3 Sn 3.16-3.38, 2 Na 3.17
10 Bi 0.2500 0.5000 0.8175  2 Sn 3.07, 3 Na 3.25-3.39
11 Bi 0.7500 0.0000 0.6686  3 Sn 3.16-3.38, 2 Na 3.17
12 Bi 0.7500 0.5000 0.1825  2 Sn 3.07, 3 Na 3.25-3.39

Calculated values
Formation energy in eV/atom: -0.252
Density in g cm⁻³: 7.89